(1)
# NaCa4Zn GGA-PBE relaxed
data_NaCa4Zn
_chemical_formula_sum 'Na2 Ca8 Zn2'
_cell_length_a 6.2070
_cell_length_b 7.5065
_cell_length_c 9.4448
_cell_angle_alpha 90.00
_cell_angle_beta 100.26
_cell_angle_gamma 90.00
_space_group_name_H-M_alt 'P 1 21/m 1'
_space_group_IT_number 11
loop_
_space_group_symop_operation_xyz
'x,y,z'
'-x,-y,-z'
'-x,y+1/2,-z'
'x,-y+1/2,z'
loop_
_atom_site_label
_atom_site_type_symbol
_atom_site_fract_x
_atom_site_fract_y
_atom_site_fract_z
Na1 Na 0.2234 0.2500 0.4282
Ca1 Ca 0.1366 0.2500 0.0531
Ca2 Ca 0.2124 0.7500 0.3465
Ca3 Ca 0.3258 0.5112 0.7618
Zn1 Zn 0.3714 0.7500 0.0415
# polymorph energy (0 for the lowest one) = 0.0 meV per atom
# energy of formation = -32 meV/atom
# calculated total energy = -1.7985 eV/atom

(2)
# NaCa4Zn GGA-PBE relaxed
data_NaCa4Zn
_chemical_formula_sum 'Na2 Ca8 Zn2'
_cell_length_a 7.8622
_cell_length_b 7.6469
_cell_length_c 7.8215
_cell_angle_alpha 90.00
_cell_angle_beta 97.76
_cell_angle_gamma 90.00
_space_group_name_H-M_alt 'P 1 21/c 1'
_space_group_IT_number 14
loop_
_space_group_symop_operation_xyz
'x,y,z'
'-x,-y,-z'
'-x,y+1/2,-z+1/2'
'x,-y+1/2,z+1/2'
loop_
_atom_site_label
_atom_site_type_symbol
_atom_site_fract_x
_atom_site_fract_y
_atom_site_fract_z
Na1 Na 0.0000 0.0000 0.0000
Ca1 Ca 0.1639 0.1361 0.3934
Ca2 Ca 0.3744 0.6651 0.3100
Zn1 Zn 0.5000 0.0000 0.5000
# polymorph energy (0 for the lowest one) = 127.7 meV per atom
# energy of formation = 96 meV/atom
# calculated total energy = -1.6708 eV/atom